(1)
The following is a DFT calculation (SCAN) of a crystal of CsTaNb2 relaxed with PBEsol.

CIF file:
```
data_CsTaNb2
_space_group_name_H-M_alt 'F m -3 m'
_space_group_IT_number 225
_space_group_name_Hall '-F 4 2 3'
_cell_length_a 6.867
_cell_length_b 6.867
_cell_length_c 6.867
_cell_angle_alpha 90.00
_cell_angle_beta 90.00
_cell_angle_gamma 90.00
loop_
_atom_site_label
_atom_site_fract_x
_atom_site_fract_y
_atom_site_fract_z
_atom_site_occupancy
Cs1 0.000 0.000 0.000 1
Ta1 0.000 0.000 0.500 1
Nb1 0.250 0.250 0.250 1
```

The value obtained for the formation energy is 1678 meV per atom. The density of states at the Fermi level is 1.334 states/eV per atom.

---

(2)
The following is a DFT calculation (SCAN) of a crystal of CsTaTi2Nb relaxed with PBEsol.

CIF file:
```
data_CsTaTi2Nb
_space_group_name_H-M_alt 'P 4/m m m'
_space_group_IT_number 123
_space_group_name_Hall '-P 4 2'
_cell_length_a 5.046
_cell_length_b 5.046
_cell_length_c 4.987
_cell_angle_alpha 90.00
_cell_angle_beta 90.00
_cell_angle_gamma 90.00
loop_
_atom_site_label
_atom_site_fract_x
_atom_site_fract_y
_atom_site_fract_z
_atom_site_occupancy
Cs1 0.000 0.000 0.000 1
Ta1 0.500 0.500 0.000 1
Ti1 0.000 0.500 0.500 1
Nb1 0.500 0.500 0.500 1
```

The value obtained for the formation energy is 1488 meV per atom. The density of states at the Fermi level is 1.229 states/eV per atom.

---

(3)
The following is a DFT calculation (SCAN) of a crystal of CsNbTe2 relaxed with PBEsol.

CIF file:
```
data_CsNbTe2
_space_group_name_H-M_alt 'F m -3 m'
_space_group_IT_number 225
_space_group_name_Hall '-F 4 2 3'
_cell_length_a 7.641
_cell_length_b 7.641
_cell_length_c 7.641
_cell_angle_alpha 90.00
_cell_angle_beta 90.00
_cell_angle_gamma 90.00
loop_
_atom_site_label
_atom_site_fract_x
_atom_site_fract_y
_atom_site_fract_z
_atom_site_occupancy
Cs1 0.000 0.000 0.000 1
Nb1 0.000 0.000 0.500 1
Te1 0.250 0.250 0.250 1
```

The value obtained for the energy relative to the elements, uncorrected is 49 meV per atom. The density of states at the Fermi level is 0.031 states/eV per atom.

---

(4)
The following is a DFT calculation (SCAN) of a crystal of CsNbTe3 relaxed with PBEsol.

CIF file:
```
data_CsNbTe3
_space_group_name_H-M_alt 'P m -3 m'
_space_group_IT_number 221
_space_group_name_Hall '-P 4 2 3'
_cell_length_a 5.943
_cell_length_b 5.943
_cell_length_c 5.943
_cell_angle_alpha 90.00
_cell_angle_beta 90.00
_cell_angle_gamma 90.00
loop_
_atom_site_label
_atom_site_fract_x
_atom_site_fract_y
_atom_site_fract_z
_atom_site_occupancy
Cs1 0.000 0.000 0.000 1
Nb1 0.500 0.500 0.500 1
Te1 0.000 0.000 0.500 1
```

The value obtained for the energy relative to the elements, uncorrected is 1695 meV per atom. The energy relative to the lowest polymorph listed for this composition comes out at 2.177 eV/atom. The density of states at the Fermi level is 1.012 states/eV per atom.

---

(5)
The following is a DFT calculation (SCAN) of a crystal of CsNbTe3 relaxed with PBEsol.

CIF file:
```
data_CsNbTe3
_space_group_name_H-M_alt 'P m -3 m'
_space_group_IT_number 221
_space_group_name_Hall '-P 4 2 3'
_cell_length_a 5.488
_cell_length_b 5.488
_cell_length_c 5.488
_cell_angle_alpha 90.00
_cell_angle_beta 90.00
_cell_angle_gamma 90.00
loop_
_atom_site_label
_atom_site_fract_x
_atom_site_fract_y
_atom_site_fract_z
_atom_site_occupancy
Cs1 0.000 0.000 0.000 1
Nb1 0.500 0.500 0.500 1
Te1 0.000 0.500 0.500 1
```

The value obtained for the energy relative to the elements, uncorrected is -482 meV per atom. The energy relative to the lowest polymorph listed for this composition comes out at 0.000 eV/atom. The density of states at the Fermi level is 0.514 states/eV per atom.

---

(6)
The following is a DFT calculation (SCAN) of a crystal of Cs3NbZn relaxed with PBEsol.

CIF file:
```
data_Cs3NbZn
_space_group_name_H-M_alt 'P m -3 m'
_space_group_IT_number 221
_space_group_name_Hall '-P 4 2 3'
_cell_length_a 7.128
_cell_length_b 7.128
_cell_length_c 7.128
_cell_angle_alpha 90.00
_cell_angle_beta 90.00
_cell_angle_gamma 90.00
loop_
_atom_site_label
_atom_site_fract_x
_atom_site_fract_y
_atom_site_fract_z
_atom_site_occupancy
Cs1 0.000 0.000 0.500 1
Nb1 0.000 0.000 0.000 1
Zn1 0.500 0.500 0.500 1
```

The value obtained for the formation energy is 1080 meV per atom. The density of states at the Fermi level is 0.875 states/eV per atom.

---

(7)
The following is a DFT calculation (SCAN) of a crystal of CsNdP4O12 relaxed with PBEsol.

CIF file:
```
data_CsNdP4O12
_space_group_name_H-M_alt 'P 1 21 1'
_space_group_IT_number 4
_cell_length_a 7.141
_cell_length_b 9.205
_cell_length_c 8.817
_cell_angle_alpha 90.00
_cell_angle_beta 99.45
_cell_angle_gamma 90.00
loop_
_space_group_symop_operation_xyz
'x,y,z'
'-x,y+1/2,-z'
loop_
_atom_site_label
_atom_site_fract_x
_atom_site_fract_y
_atom_site_fract_z
_atom_site_occupancy
Cs1 0.171 0.000 0.176 1
Nd1 0.300 0.165 0.698 1
P1 0.143 0.537 0.543 1
P2 0.192 0.594 0.226 1
P3 0.417 0.392 0.069 1
P4 0.441 0.775 0.625 1
O1 0.012 0.139 0.817 1
O2 0.045 0.111 0.492 1
O3 0.158 0.400 0.634 1
O4 0.223 0.466 0.108 1
O5 0.224 0.505 0.386 1
O6 0.288 0.650 0.639 1
O7 0.346 0.705 0.233 1
O8 0.349 0.920 0.595 1
O9 0.361 0.319 0.919 1
O10 0.422 0.220 0.472 1
O11 0.422 0.999 0.909 1
O12 0.451 0.266 0.198 1
```

The value obtained for the energy relative to the elements, uncorrected is -2728 meV per atom. The energy relative to the lowest polymorph listed for this composition comes out at 0.007 eV/atom. The density of states at the Fermi level is 0.000 states/eV per atom.

---

(8)
The following is a DFT calculation (SCAN) of a crystal of CsNdP4O12 relaxed with PBEsol.

CIF file:
```
data_CsNdP4O12
_space_group_name_H-M_alt 'P 1 21/c 1'
_space_group_IT_number 14
_cell_length_a 10.489
_cell_length_b 9.068
_cell_length_c 13.008
_cell_angle_alpha 90.00
_cell_angle_beta 124.18
_cell_angle_gamma 90.00
loop_
_space_group_symop_operation_xyz
'x,y,z'
'-x,-y,-z'
'-x,y+1/2,-z+1/2'
'x,-y+1/2,z+1/2'
loop_
_atom_site_label
_atom_site_fract_x
_atom_site_fract_y
_atom_site_fract_z
_atom_site_occupancy
Cs1 0.229 0.065 0.041 1
Nd1 0.316 0.726 0.817 1
P1 0.031 0.029 0.283 1
P2 0.200 0.604 0.025 1
P3 0.325 0.174 0.365 1
P4 0.387 0.094 0.742 1
O1 0.043 0.540 0.903 1
O2 0.075 0.582 0.723 1
O3 0.125 0.598 0.296 1
O4 0.159 0.159 0.344 1
O5 0.162 0.707 0.094 1
O6 0.266 0.051 0.599 1
O7 0.278 0.207 0.756 1
O8 0.300 0.658 0.985 1
O9 0.369 0.034 0.331 1
O10 0.423 0.537 0.324 1
O11 0.429 0.244 0.489 1
O12 0.483 0.679 0.745 1
```

The value obtained for the energy relative to the elements, uncorrected is -2736 meV per atom. The energy relative to the lowest polymorph listed for this composition comes out at 0.000 eV/atom. The density of states at the Fermi level is 0.000 states/eV per atom.

---

(9)
The following is a DFT calculation (SCAN) of a crystal of CsNdZnTe3 relaxed with PBEsol.

CIF file:
```
data_CsNdZnTe3
_space_group_name_H-M_alt 'C m c m'
_space_group_IT_number 63
_space_group_name_Hall '-C 2c 2'
_cell_length_a 4.423
_cell_length_b 16.756
_cell_length_c 11.787
_cell_angle_alpha 90.00
_cell_angle_beta 90.00
_cell_angle_gamma 90.00
loop_
_atom_site_label
_atom_site_fract_x
_atom_site_fract_y
_atom_site_fract_z
_atom_site_occupancy
Cs1 0.000 0.245 0.250 1
Nd1 0.000 0.500 0.000 1
Zn1 0.000 0.037 0.750 1
Te1 0.000 0.125 0.565 1
Te2 0.000 0.438 0.750 1
```

The value obtained for the energy relative to the elements, uncorrected is -1240 meV per atom. The density of states at the Fermi level is 0.000 states/eV per atom.

---

(10)
The following is a DFT calculation (SCAN) of a crystal of Cs2NiO2 relaxed with PBEsol.

CIF file:
```
data_Cs2NiO2
_space_group_name_H-M_alt 'I 4/m m m'
_space_group_IT_number 139
_space_group_name_Hall '-I 4 2'
_cell_length_a 4.336
_cell_length_b 4.336
_cell_length_c 13.381
_cell_angle_alpha 90.00
_cell_angle_beta 90.00
_cell_angle_gamma 90.00
loop_
_atom_site_label
_atom_site_fract_x
_atom_site_fract_y
_atom_site_fract_z
_atom_site_occupancy
Cs1 0.000 0.000 0.149 1
Ni1 0.000 0.000 0.500 1
O1 0.000 0.000 0.374 1
```

The value obtained for the energy relative to the elements, uncorrected is -1334 meV per atom. The density of states at the Fermi level is 0.000 states/eV per atom.

---

(11)
The following is a DFT calculation (SCAN) of a crystal of CsNiO2 relaxed with PBEsol.

CIF file:
```
data_CsNiO2
_space_group_name_H-M_alt 'R -3 m'
_space_group_IT_number 166
_space_group_name_Hall '-R 3 2"'
_cell_length_a 3.1967
_cell_length_b 3.1967
_cell_length_c 20.6405
_cell_angle_alpha 90.00
_cell_angle_beta 90.00
_cell_angle_gamma 120.00
loop_
_atom_site_label
_atom_site_fract_x
_atom_site_fract_y
_atom_site_fract_z
_atom_site_occupancy
Cs1 0.0000 0.0000 0.0000 1
Ni1 0.0000 0.0000 0.5000 1
O1 0.0000 0.0000 0.1268 1
```

The value obtained for the energy relative to the elements, uncorrected is -683 meV per atom. The density of states at the Fermi level is 0.382 states/eV per atom.

---

(12)
The following is a DFT calculation (SCAN) of a crystal of Cs3NiOs relaxed with PBEsol.

CIF file:
```
data_Cs3NiOs
_space_group_name_H-M_alt 'P m -3 m'
_space_group_IT_number 221
_space_group_name_Hall '-P 4 2 3'
_cell_length_a 5.819
_cell_length_b 5.819
_cell_length_c 5.819
_cell_angle_alpha 90.00
_cell_angle_beta 90.00
_cell_angle_gamma 90.00
loop_
_atom_site_label
_atom_site_fract_x
_atom_site_fract_y
_atom_site_fract_z
_atom_site_occupancy
Cs1 0.000 0.000 0.500 1
Ni1 0.500 0.500 0.500 1
Os1 0.000 0.000 0.000 1
```

The value obtained for the formation energy is 1628 meV per atom. The density of states at the Fermi level is 2.515 states/eV per atom.

---

(13)
The following is a DFT calculation (SCAN) of a crystal of Cs3NiPb relaxed with PBEsol.

CIF file:
```
data_Cs3NiPb
_space_group_name_H-M_alt 'P m -3 m'
_space_group_IT_number 221
_space_group_name_Hall '-P 4 2 3'
_cell_length_a 6.118
_cell_length_b 6.118
_cell_length_c 6.118
_cell_angle_alpha 90.00
_cell_angle_beta 90.00
_cell_angle_gamma 90.00
loop_
_atom_site_label
_atom_site_fract_x
_atom_site_fract_y
_atom_site_fract_z
_atom_site_occupancy
Cs1 0.000 0.000 0.500 1
Ni1 0.000 0.000 0.000 1
Pb1 0.500 0.500 0.500 1
```

The value obtained for the formation energy is 540 meV per atom. The density of states at the Fermi level is 0.994 states/eV per atom.

---

(14)
The following is a DFT calculation (SCAN) of a crystal of Cs2NiPdPb relaxed with PBEsol.

CIF file:
```
data_Cs2NiPdPb
_space_group_name_H-M_alt 'P 4/m m m'
_space_group_IT_number 123
_space_group_name_Hall '-P 4 2'
_cell_length_a 5.764
_cell_length_b 5.764
_cell_length_c 5.007
_cell_angle_alpha 90.00
_cell_angle_beta 90.00
_cell_angle_gamma 90.00
loop_
_atom_site_label
_atom_site_fract_x
_atom_site_fract_y
_atom_site_fract_z
_atom_site_occupancy
Cs1 0.000 0.500 0.000 1
Ni1 0.000 0.000 0.000 1
Pd1 0.500 0.500 0.500 1
Pb1 0.000 0.000 0.500 1
```

The value obtained for the formation energy is 542 meV per atom. The density of states at the Fermi level is 0.542 states/eV per atom.

---

(15)
The following is a DFT calculation (SCAN) of a crystal of CsNi3Pd relaxed with PBEsol.

CIF file:
```
data_CsNi3Pd
_space_group_name_H-M_alt 'P m -3 m'
_space_group_IT_number 221
_space_group_name_Hall '-P 4 2 3'
_cell_length_a 4.686
_cell_length_b 4.686
_cell_length_c 4.686
_cell_angle_alpha 90.00
_cell_angle_beta 90.00
_cell_angle_gamma 90.00
loop_
_atom_site_label
_atom_site_fract_x
_atom_site_fract_y
_atom_site_fract_z
_atom_site_occupancy
Cs1 0.000 0.000 0.000 1
Ni1 0.000 0.500 0.500 1
Pd1 0.500 0.500 0.500 1
```

The value obtained for the formation energy is 1020 meV per atom. The density of states at the Fermi level is 0.989 states/eV per atom.

---

(16)
The following is a DFT calculation (SCAN) of a crystal of CsNiPd3 relaxed with PBEsol.

CIF file:
```
data_CsNiPd3
_space_group_name_H-M_alt 'P m -3 m'
_space_group_IT_number 221
_space_group_name_Hall '-P 4 2 3'
_cell_length_a 4.704
_cell_length_b 4.704
_cell_length_c 4.704
_cell_angle_alpha 90.00
_cell_angle_beta 90.00
_cell_angle_gamma 90.00
loop_
_atom_site_label
_atom_site_fract_x
_atom_site_fract_y
_atom_site_fract_z
_atom_site_occupancy
Cs1 0.000 0.000 0.000 1
Ni1 0.500 0.500 0.500 1
Pd1 0.000 0.500 0.500 1
```

The value obtained for the formation energy is 561 meV per atom. The density of states at the Fermi level is 1.161 states/eV per atom.

---

(17)
The following is a DFT calculation (SCAN) of a crystal of CsNi3Rh relaxed with PBEsol.

CIF file:
```
data_CsNi3Rh
_space_group_name_H-M_alt 'P m -3 m'
_space_group_IT_number 221
_space_group_name_Hall '-P 4 2 3'
_cell_length_a 4.549
_cell_length_b 4.549
_cell_length_c 4.549
_cell_angle_alpha 90.00
_cell_angle_beta 90.00
_cell_angle_gamma 90.00
loop_
_atom_site_label
_atom_site_fract_x
_atom_site_fract_y
_atom_site_fract_z
_atom_site_occupancy
Cs1 0.000 0.000 0.000 1
Ni1 0.000 0.000 0.500 1
Rh1 0.500 0.500 0.500 1
```

The value obtained for the formation energy is 2533 meV per atom. The density of states at the Fermi level is 0.885 states/eV per atom.

---

(18)
The following is a DFT calculation (SCAN) of a crystal of CsNiRh3 relaxed with PBEsol.

CIF file:
```
data_CsNiRh3
_space_group_name_H-M_alt 'P m -3 m'
_space_group_IT_number 221
_space_group_name_Hall '-P 4 2 3'
_cell_length_a 4.801
_cell_length_b 4.801
_cell_length_c 4.801
_cell_angle_alpha 90.00
_cell_angle_beta 90.00
_cell_angle_gamma 90.00
loop_
_atom_site_label
_atom_site_fract_x
_atom_site_fract_y
_atom_site_fract_z
_atom_site_occupancy
Cs1 0.000 0.000 0.000 1
Ni1 0.500 0.500 0.500 1
Rh1 0.000 0.000 0.500 1
```

The value obtained for the formation energy is 2487 meV per atom. The density of states at the Fermi level is 1.277 states/eV per atom.

---

(19)
The following is a DFT calculation (SCAN) of a crystal of Cs2NiS relaxed with PBEsol.

CIF file:
```
data_Cs2NiS
_space_group_name_H-M_alt 'F m -3 m'
_space_group_IT_number 225
_space_group_name_Hall '-F 4 2 3'
_cell_length_a 8.037
_cell_length_b 8.037
_cell_length_c 8.037
_cell_angle_alpha 90.00
_cell_angle_beta 90.00
_cell_angle_gamma 90.00
loop_
_atom_site_label
_atom_site_fract_x
_atom_site_fract_y
_atom_site_fract_z
_atom_site_occupancy
Cs1 0.250 0.250 0.250 1
Ni1 0.000 0.000 0.000 1
S1 0.000 0.000 0.500 1
```

The value obtained for the energy relative to the elements, uncorrected is 70 meV per atom. The density of states at the Fermi level is 0.818 states/eV per atom.

---

(20)
The following is a DFT calculation (SCAN) of a crystal of CsNi3S relaxed with PBEsol.

CIF file:
```
data_CsNi3S
_space_group_name_H-M_alt 'P m -3 m'
_space_group_IT_number 221
_space_group_name_Hall '-P 4 2 3'
_cell_length_a 4.672
_cell_length_b 4.672
_cell_length_c 4.672
_cell_angle_alpha 90.00
_cell_angle_beta 90.00
_cell_angle_gamma 90.00
loop_
_atom_site_label
_atom_site_fract_x
_atom_site_fract_y
_atom_site_fract_z
_atom_site_occupancy
Cs1 0.000 0.000 0.000 1
Ni1 0.000 0.000 0.500 1
S1 0.500 0.500 0.500 1
```

The value obtained for the energy relative to the elements, uncorrected is 2245 meV per atom. The density of states at the Fermi level is 0.930 states/eV per atom.

---

| no. | E (eV/cell) |
| --- | --- |
| 1 | -655.8 |
| 2 | -162.1 |
| 3 | -581.0 |
| 4 | -174.2 |
| 5 | -185.1 |
| 6 | -154.7 |
| 7 | -493.8 |
| 8 | -988.0 |
| 9 | -856.4 |
| 10 | -221.9 |
| 11 | -207.5 |
| 12 | -193.3 |
| 13 | -202.7 |
| 14 | -197.6 |
| 15 | -114.0 |
| 16 | -149.5 |
| 17 | -107.4 |
| 18 | -142.9 |
| 19 | -404.6 |
| 20 | -84.7 |